No. 1
An optimized crystal structure of Sm5Cd2Os2. Source: Alexandria, functional PBE.

Summary:
* calculated formation energy: -193 meV/atom
* space group: Cmce, No. 64

The structure in CIF format:
```
data_Sm5Cd2Os2
_symmetry_space_group_name_H-M 'P 1'
_symmetry_Int_Tables_number 1
_cell_length_a 9.130
_cell_length_b 9.130
_cell_length_c 7.763
_cell_angle_alpha 90.00
_cell_angle_beta 90.00
_cell_angle_gamma 49.17
loop_
_symmetry_equiv_pos_as_xyz
'x,y,z'
loop_
_atom_site_label
_atom_site_fract_x
_atom_site_fract_y
_atom_site_fract_z
Sm1 0.000 0.000 0.000
Sm2 0.063 0.697 0.684
Sm3 0.197 0.563 0.184
Sm4 0.303 0.937 0.684
Sm5 0.437 0.803 0.184
Sm6 0.500 0.500 0.500
Sm7 0.563 0.197 0.816
Sm8 0.697 0.063 0.316
Sm9 0.803 0.437 0.816
Sm10 0.937 0.303 0.316
Cd1 0.223 0.223 0.000
Cd2 0.277 0.277 0.500
Cd3 0.723 0.723 0.500
Cd4 0.777 0.777 0.000
Os1 0.113 0.887 0.383
Os2 0.387 0.613 0.883
Os3 0.613 0.387 0.117
Os4 0.887 0.113 0.617
```

No. 2
An optimized crystal structure of TbGdSnPb. Source: Alexandria, functional PBE.

Summary:
* calculated formation energy: -493 meV/atom
* space group: F-43m, No. 216

The structure in CIF format:
```
data_TbGdSnPb
_symmetry_space_group_name_H-M 'P 1'
_symmetry_Int_Tables_number 1
_cell_length_a 7.683
_cell_length_b 7.683
_cell_length_c 7.683
_cell_angle_alpha 90.00
_cell_angle_beta 90.00
_cell_angle_gamma 90.00
loop_
_symmetry_equiv_pos_as_xyz
'x,y,z'
loop_
_atom_site_label
_atom_site_fract_x
_atom_site_fract_y
_atom_site_fract_z
Tb1 0.000 0.000 0.000
Tb2 0.000 0.500 0.500
Tb3 0.500 0.000 0.500
Tb4 0.500 0.500 0.000
Gd1 0.000 0.000 0.500
Gd2 0.000 0.500 0.000
Gd3 0.500 0.000 0.000
Gd4 0.500 0.500 0.500
Sn1 0.250 0.250 0.750
Sn2 0.250 0.750 0.250
Sn3 0.750 0.250 0.250
Sn4 0.750 0.750 0.750
Pb1 0.250 0.250 0.250
Pb2 0.250 0.750 0.750
Pb3 0.750 0.250 0.750
Pb4 0.750 0.750 0.250
```

- Which of these has the lowest calculated formation energy?
  TbGdSnPb